Compound: NiPtCl
Source: the Alexandria database
Functional: GGA-PBE
Structure: optimized geometry

Lattice parameters (Å, degrees): 7.354 6.055 6.055 151.83 157.22 34.46
Each line ends with the local moment (μB).
Fractional coordinates of all 3 atoms:
Ni: 0.172 0.328 0.844  0.87
Pt: 0.809 0.692 0.117  0.39
Cl: 0.019 0.980 0.039  0.12

Values from the calculation:
calculated volume = 49.2 Å³ per cell
distance to the lowest polymorph of the same formula = 0.233 eV per atom
raw formation energy = 207 meV per atom
electronic total energy = -4.349 eV/atom